A relaxed structure of KSr2MgTl, computed with PBE-GGA.

Crystal system = tetragonal
Energy of formation from the pure elements = 0.1 eV/f.u.
SG = P4/mmm (123)
Theoretical density = 3063 kg/m³
Density of states at the Fermi level = 0.83 states/eV/atom
E = -1.658 eV per atom

Lattice parameters (Å, degrees): 6.5691 6.5691 5.5656 90.00 90.00 90.00
Last column: nearest neighbours and their distance in Å.
Fractional coordinates of all 5 atoms:
Sr  0.0000  0.5000  0.0000  2 Tl 3.28
Sr  0.5000  0.0000  0.0000  2 Tl 3.28
Tl  0.0000  0.0000  0.0000  2 Mg 2.78
K  0.5000  0.5000  0.5000  8 Sr 4.30, 4 Mg 4.65
Mg  0.0000  0.0000  0.5000  2 Tl 2.78